# 1
The following is a PBEsol calculation of AlHg3Rh after structural relaxation, from Alexandria via LeMat-Bulk.

The formation energy comes out at 0.915 eV/atom. The total DFT energy (no corrections) comes out at -1.87 eV per atom. As for the volume: 118.89 Å³/f.u.

a b c (Å): 4.9172 4.9172 4.9172
angles (deg): 90.00 90.00 90.00
With the nearest neighbours (Å) after each atom.
Positions (direct):
Al  0.0000  0.0000  0.0000  6 Hg 2.46
Hg  0.0000  0.0000  0.5000  2 Al 2.46
Hg  0.0000  0.5000  0.0000  2 Al 2.46
Hg  0.5000  0.0000  0.0000  2 Al 2.46
Rh  0.5000  0.5000  0.5000  12 Hg 3.48

***

# 2
The following is a PBEsol calculation of AlHg2Rh after structural relaxation, from Alexandria via LeMat-Bulk.

The formation energy comes out at -0.088 eV/atom. The total DFT energy (no corrections) comes out at -3.43 eV per atom. As for the volume: 67.63 Å³/f.u.

a b c (Å): 5.1664 5.1664 5.1664
angles (deg): 135.13 135.13 65.33
With the nearest neighbours (Å) after each atom.
Positions (direct):
Al  0.0000  0.0000  0.0000  4 Rh 2.79, 8 Hg 2.94
Hg  0.2500  0.7500  0.5000  4 Hg 2.79, 4 Rh 2.94, 4 Al 2.94
Hg  0.7500  0.2500  0.5000  4 Hg 2.79, 4 Rh 2.94, 4 Al 2.94
Rh  0.5000  0.5000  0.0000  4 Al 2.79, 8 Hg 2.94

***

# 3
The following is a PBEsol calculation of AlHgRu2 after structural relaxation, from Alexandria via LeMat-Bulk.

The formation energy comes out at 0.026 eV/atom. The total DFT energy (no corrections) comes out at -6.23 eV per atom. As for the volume: 61.54 Å³/f.u.

a b c (Å): 2.8162 2.8162 7.7596
angles (deg): 90.00 90.00 90.00
With the nearest neighbours (Å) after each atom.
Positions (direct):
Al  0.0000  0.0000  0.0000  4 Ru 2.61, 4 Al 2.82
Hg  0.5000  0.5000  0.2969  4 Hg 2.82, 4 Ru 2.92, 4 Al 3.05
Ru  0.0000  0.0000  0.5725  8 Ru 2.57-2.82
Ru  0.5000  0.5000  0.7829  8 Ru 2.57-2.82, 4 Al 2.61

***

# 4
The following is a PBEsol calculation of Al2HgRu after structural relaxation, from Alexandria via LeMat-Bulk.

The formation energy comes out at -0.088 eV/atom. The total DFT energy (no corrections) comes out at -4.82 eV per atom. As for the volume: 63.52 Å³/f.u.

a b c (Å): 4.5893 4.5893 4.8881
angles (deg): 101.33 101.33 39.11
With the nearest neighbours (Å) after each atom.
Positions (direct):
Al  0.2349  0.2349  0.2109  3 Ru 2.58-2.70, 2 Al 2.63, 3 Hg 2.71-2.87
Al  0.7651  0.7651  0.7891  3 Ru 2.58-2.70, 2 Al 2.63, 3 Hg 2.71-2.87
Hg  0.0000  0.0000  0.5000  6 Al 2.71-2.87, 4 Ru 2.89
Ru  0.5000  0.5000  0.0000  6 Al 2.58-2.70, 4 Hg 2.89

***

# 5
The following is a PBEsol calculation of AlHgRu2 after structural relaxation, from Alexandria via LeMat-Bulk.

The formation energy comes out at 0.306 eV/atom. The total DFT energy (no corrections) comes out at -5.95 eV per atom. As for the volume: 61.03 Å³/f.u.

a b c (Å): 5.1984 5.1984 2.8166
angles (deg): 103.40 103.40 116.68
With the nearest neighbours (Å) after each atom.
Positions (direct):
Al  0.0000  0.0000  0.0000  4 Ru 2.65, 4 Hg 2.73-2.93, 2 Al 2.82
Hg  0.5000  0.5000  0.0000  4 Ru 2.65, 4 Al 2.73-2.93, 2 Hg 2.82
Ru  0.0000  0.5000  0.5000  2 Hg 2.65, 2 Al 2.65, 6 Ru 2.73-2.93
Ru  0.5000  0.0000  0.5000  2 Hg 2.65, 2 Al 2.65, 6 Ru 2.73-2.93

***

# 6
The following is a PBEsol calculation of AlHgRu2 after structural relaxation, from Alexandria via LeMat-Bulk.

The formation energy comes out at 0.120 eV/atom. The total DFT energy (no corrections) comes out at -6.13 eV per atom. As for the volume: 60.93 Å³/f.u.

a b c (Å): 4.5714 4.5714 5.0335
angles (deg): 101.88 101.88 36.39
With the nearest neighbours (Å) after each atom.
Positions (direct):
Al  0.0000  0.0000  0.0000  6 Ru 2.54-2.73
Hg  0.5000  0.5000  0.5000  6 Ru 2.75-2.81, 2 Hg 2.86, 4 Al 2.89
Ru  0.2635  0.2635  0.7855  3 Al 2.54-2.73, 2 Ru 2.64, 3 Hg 2.75-2.81
Ru  0.7365  0.7365  0.2145  3 Al 2.54-2.73, 2 Ru 2.64, 3 Hg 2.75-2.81

***

# 7
The following is a PBEsol calculation of Al2HgRu after structural relaxation, from Alexandria via LeMat-Bulk.

The formation energy comes out at -0.158 eV/atom. The total DFT energy (no corrections) comes out at -4.89 eV per atom. As for the volume: 61.19 Å³/f.u.

a b c (Å): 5.0069 5.0069 5.0069
angles (deg): 135.31 135.31 65.05
With the nearest neighbours (Å) after each atom.
Positions (direct):
Al  0.0000  0.0000  0.0000  4 Hg 2.69, 4 Ru 2.84, 4 Al 2.84
Al  0.7500  0.2500  0.5000  4 Ru 2.69, 4 Hg 2.84, 4 Al 2.84
Hg  0.5000  0.5000  0.0000  8 Al 2.69-2.84, 4 Ru 2.84
Ru  0.2500  0.7500  0.5000  8 Al 2.69-2.84, 4 Hg 2.84

***

# 8
The following is a PBEsol calculation of AlHg2Ru after structural relaxation, from Alexandria via LeMat-Bulk.

The formation energy comes out at 0.189 eV/atom. The total DFT energy (no corrections) comes out at -3.66 eV per atom. As for the volume: 68.39 Å³/f.u.

a b c (Å): 4.6549 3.2039 4.7813
angles (deg): 90.00 106.44 90.00
With the nearest neighbours (Å) after each atom.
Positions (direct):
Al  0.0000  0.0000  0.0000  6 Hg 2.83-2.88, 4 Ru 2.83
Hg  0.0000  0.5000  0.5000  2 Ru 2.83, 4 Hg 2.83, 4 Al 2.88
Hg  0.5000  0.0000  0.5000  2 Al 2.83, 4 Hg 2.83, 4 Ru 2.88
Ru  0.5000  0.5000  0.0000  6 Hg 2.83-2.88, 4 Al 2.83

***

# 9
The following is a PBEsol calculation of Al2HgRu after structural relaxation, from Alexandria via LeMat-Bulk.

The formation energy comes out at -0.125 eV/atom. The total DFT energy (no corrections) comes out at -4.86 eV per atom. As for the volume: 61.09 Å³/f.u.

a b c (Å): 4.4153 4.4153 3.1780
angles (deg): 90.00 90.00 99.60
With the nearest neighbours (Å) after each atom.
Positions (direct):
Al  0.0000  0.5000  0.0000  4 Hg 2.72, 4 Ru 2.72, 2 Al 2.85
Al  0.5000  0.0000  0.0000  4 Hg 2.72, 4 Ru 2.72, 2 Al 2.85
Hg  0.0000  0.0000  0.5000  8 Al 2.72, 2 Ru 2.85
Ru  0.5000  0.5000  0.5000  8 Al 2.72, 2 Hg 2.85

***

# 10
The following is a PBEsol calculation of Al2HgRu after structural relaxation, from Alexandria via LeMat-Bulk.

The formation energy comes out at -0.110 eV/atom. The total DFT energy (no corrections) comes out at -4.84 eV per atom. As for the volume: 62.74 Å³/f.u.

a b c (Å): 3.0653 4.5040 4.5447
angles (deg): 90.00 90.00 90.00
With the nearest neighbours (Å) after each atom.
Positions (direct):
Al  0.0000  0.0000  0.0000  2 Ru 2.57, 2 Hg 2.68, 4 Al 2.85
Al  0.5000  0.5000  0.1847  2 Ru 2.56, 4 Hg 2.72-2.76, 4 Al 2.85
Hg  0.0000  0.5000  0.6788  6 Al 2.68-2.76, 4 Ru 2.91
Ru  0.5000  0.0000  0.4533  4 Al 2.56-2.57

***

# 11
The following is a PBEsol calculation of AlHg2Ru after structural relaxation, from Alexandria via LeMat-Bulk.

The formation energy comes out at 0.306 eV/atom. The total DFT energy (no corrections) comes out at -3.54 eV per atom. As for the volume: 69.23 Å³/f.u.

a b c (Å): 3.2556 3.8450 5.5306
angles (deg): 90.00 90.00 90.00
With the nearest neighbours (Å) after each atom.
Positions (direct):
Al  0.0000  0.0000  0.0000  2 Ru 2.77, 8 Hg 2.88
Hg  0.5000  0.5000  0.2525  2 Hg 2.74-2.79, 4 Ru 2.87, 4 Al 2.88
Hg  0.5000  0.5000  0.7475  2 Hg 2.74-2.79, 4 Ru 2.87, 4 Al 2.88
Ru  0.0000  0.0000  0.5000  2 Al 2.77, 8 Hg 2.87

***

# 12
The following is a PBEsol calculation of AlHg2Ru after structural relaxation, from Alexandria via LeMat-Bulk.

The formation energy comes out at 0.309 eV/atom. The total DFT energy (no corrections) comes out at -3.54 eV per atom. As for the volume: 70.54 Å³/f.u.

a b c (Å): 2.9373 4.9895 4.8136
angles (deg): 90.00 90.83 90.00
With the nearest neighbours (Å) after each atom.
Positions (direct):
Al  0.0000  0.0000  0.0000  4 Ru 2.80-2.84, 4 Hg 2.86, 2 Al 2.94
Hg  0.2366  0.5000  0.2530  6 Hg 2.77-2.94, 2 Al 2.86, 2 Ru 2.87
Hg  0.7634  0.5000  0.7470  6 Hg 2.77-2.94, 2 Al 2.86, 2 Ru 2.87
Ru  0.5000  0.0000  0.5000  4 Al 2.80-2.84, 4 Hg 2.87, 2 Ru 2.94

***

# 13
The following is a PBEsol calculation of AlHg2Ru after structural relaxation, from Alexandria via LeMat-Bulk.

The formation energy comes out at 0.254 eV/atom. The total DFT energy (no corrections) comes out at -3.60 eV per atom. As for the volume: 70.79 Å³/f.u.

a b c (Å): 5.6392 5.6392 3.0971
angles (deg): 105.42 105.42 121.23
With the nearest neighbours (Å) after each atom.
Positions (direct):
Al  0.0000  0.0000  0.0000  4 Ru 2.77-2.82, 4 Hg 2.82, 2 Al 3.10
Hg  0.0000  0.5000  0.0000  6 Hg 2.77-3.10, 2 Ru 2.82, 2 Al 2.82
Hg  0.5000  0.0000  0.0000  6 Hg 2.77-3.10, 2 Ru 2.82, 2 Al 2.82
Ru  0.5000  0.5000  0.0000  4 Al 2.77-2.82, 4 Hg 2.82, 2 Ru 3.10

***

# 14
The following is a PBEsol calculation of Al2HgRu after structural relaxation, from Alexandria via LeMat-Bulk.

The formation energy comes out at 0.194 eV/atom. The total DFT energy (no corrections) comes out at -4.54 eV per atom. As for the volume: 66.52 Å³/f.u.

a b c (Å): 2.8642 2.8642 9.0349
angles (deg): 90.00 90.00 116.18
With the nearest neighbours (Å) after each atom.
Positions (direct):
Al  0.0000  0.0000  0.0000  8 Al 2.77-3.03, 2 Hg 2.90
Al  0.5000  0.5000  0.2567  2 Ru 2.40
Hg  0.5000  0.5000  0.7265  2 Ru 2.82, 6 Hg 2.86-3.03, 2 Al 2.90
Ru  0.0000  0.0000  0.4633  2 Al 2.40

***

# 15
The following is a PBEsol calculation of AlHgS2 after structural relaxation, from Alexandria via LeMat-Bulk.

The total DFT energy (no corrections) comes out at -3.31 eV per atom. As for the volume: 97.64 Å³/f.u.

a b c (Å): 7.5294 7.5294 7.5294
angles (deg): 30.53 30.53 30.53
With the nearest neighbours (Å) after each atom.
Positions (direct):
Al  0.0000  0.0000  0.0000  2 S 2.15
Hg  0.5000  0.5000  0.5000  6 S 2.70
S  0.0997  0.0997  0.0997  1 Al 2.15
S  0.9003  0.9003  0.9003  1 Al 2.15